1.
A geometry-optimized MnCdOs2 structure. Source: Alexandria, functional PBE.

Lattice parameters (Å, degrees): 4.7831 4.7831 4.8883 80.68 80.68 34.30
Sites, in units of the cell vectors:
Os: 0.7412 0.7412 0.7973
Os: 0.0019 0.0019 0.9794
Mn: 0.2572 0.2572 0.2392
Cd: 0.4997 0.4997 0.4841

DOS(E_F) (states/eV/cell): 2.84
Electronic total energy (eV/atom): -7.70
Formation energy (meV/atom): 438
M_tot (μB/f.u.): 3.41
SG: Cm

2.
A geometry-optimized Mg3InMo structure. Source: Alexandria, functional PBE.

Lattice parameters (Å, degrees): 5.2753 5.2753 5.2753 90.00 90.00 90.00
Sites, in units of the cell vectors:
Mg: 0.0000 0.5000 0.0000
Mg: 0.0000 0.0000 0.5000
Mg: 0.5000 0.0000 0.0000
In: 0.5000 0.5000 0.5000
Mo: 0.0000 0.0000 0.0000

DOS(E_F) (states/eV/cell): 3.75
Electronic total energy (eV/atom): -2.71
Formation energy (meV/atom): 960
M_tot (μB/f.u.): 2.46
SG: Pm-3m
Excess energy over the best structure of this formula in the dataset (meV per atom): 0

3.
A geometry-optimized BeTl2GeW structure. Source: Alexandria, functional PBE.

Lattice parameters (Å, degrees): 5.4383 4.9339 5.4383 90.00 90.00 90.00
Sites, in units of the cell vectors:
Tl: 0.5000 0.0000 0.0000
Tl: 0.0000 0.0000 0.5000
W: 0.0000 0.5000 0.0000
Ge: 0.0000 0.0000 0.0000
Be: 0.5000 0.5000 0.5000

DOS(E_F) (states/eV/cell): 2.70
Electronic total energy (eV/atom): -3.56
Formation energy (meV/atom): 1647
M_tot (μB/f.u.): 3.08
SG: P4/mmm